A relaxed structure of DyTm2Sc, computed with PBE.

```
DyTm2Sc
1.0
3.455 0.000 0.000
0.000 3.455 0.000
0.000 0.000 9.693
Dy Tm Sc
1 2 1
direct
0.000 0.000 0.000
0.500 0.500 0.260
0.500 0.500 0.740
0.000 0.000 0.500
```

## Properties
M_tot in μB per formula unit: 0.00
ΔE_f in kJ per mole of atoms: 4.1
Energy relative to the lowest polymorph listed for this composition in meV per atom: 30

=====

A relaxed structure of Dy2Tm7Sc2, computed with PBE.

```
Dy2Tm7Sc2
1.0
5.984 0.000 0.000
-1.014 5.909 0.000
-0.991 -0.174 9.089
Dy Tm Sc
2 7 2
direct
0.227 0.454 0.407
0.773 0.546 0.593
0.047 0.090 0.687
0.318 0.634 0.778
0.405 0.817 0.132
0.500 0.000 0.500
0.595 0.183 0.868
0.682 0.366 0.222
0.953 0.910 0.313
0.134 0.272 0.044
0.866 0.728 0.956
```

## Properties
M_tot in μB per formula unit: 0.00
ΔE_f in kJ per mole of atoms: 3.9
Energy relative to the lowest polymorph listed for this composition in meV per atom: 0

=====

A relaxed structure of Dy4Tm5Sc4, computed with PBE.

```
Dy4Tm5Sc4
1.0
-6.188 6.188 2.432
6.188 -6.188 2.432
6.188 6.188 -2.432
Dy Tm Sc
4 5 4
direct
0.079 0.381 0.460
0.381 0.921 0.302
0.619 0.079 0.698
0.921 0.619 0.540
0.000 0.000 0.000
0.309 0.541 0.850
0.459 0.309 0.767
0.541 0.691 0.233
0.691 0.459 0.150
0.155 0.769 0.924
0.231 0.155 0.387
0.769 0.845 0.613
0.845 0.231 0.076
```

## Properties
M_tot in μB per formula unit: 0.00
ΔE_f in kJ per mole of atoms: 4.3

=====

A relaxed structure of Dy4Tm5Sc2, computed with PBE.

```
Dy4Tm5Sc2
1.0
-1.713 4.481 11.119
1.713 -4.481 11.119
1.713 4.481 -11.119
Dy Tm Sc
4 5 2
direct
0.099 0.099 0.000
0.195 0.500 0.695
0.805 0.500 0.305
0.901 0.901 0.000
0.147 0.349 0.798
0.449 0.651 0.798
0.500 0.000 0.500
0.551 0.349 0.202
0.853 0.651 0.202
0.230 0.230 0.000
0.770 0.770 0.000
```

## Properties
M_tot in μB per formula unit: 0.00
ΔE_f in kJ per mole of atoms: 27.5
Energy relative to the lowest polymorph listed for this composition in meV per atom: 227

=====

Among the records above, which one has the highest ΔE_f?
Dy4Tm5Sc2

=====

Number 2 is which compound?
Dy2Tm7Sc2